Here is a geometry-optimized Li3Ni4P4 structure from Alexandria via LeMat-Bulk. Energies are from PBE-GGA.

Results
* volume: 14.5 A^3/atom
* formation enthalpy at 0 K: -0.539 eV/atom
* Fermi-level density of states: 7.971 states/eV/cell
* M_tot: 0.00 μB/cell
* space group: I-43m (217)
* energy above the most stable polymorph in this dataset: 0.094 eV per atom

Lattice parameters (Å, degrees): 5.911 5.911 5.911 109.47 109.47 109.47
Sites, in units of the cell vectors:
Li 0.000 0.500 0.500
Li 0.500 0.000 0.500
Li 0.500 0.500 0.000
Ni 0.000 0.000 0.274
Ni 0.000 0.274 0.000
Ni 0.274 0.000 0.000
Ni 0.726 0.726 0.726
P 0.000 0.000 0.630
P 0.000 0.630 0.000
P 0.370 0.370 0.370
P 0.630 0.000 0.000

=====

Here is a geometry-optimized Li2NiP2 structure from Alexandria via LeMat-Bulk. Energies are from PBE-GGA.

Results
* volume: 13.9 A^3/atom
* formation enthalpy at 0 K: -0.343 eV/atom
* Fermi-level density of states: 1.399 states/eV/cell
* M_tot: 0.00 μB/cell
* space group: P-3m1 (164)
* energy above the most stable polymorph in this dataset: 0.277 eV per atom

Lattice parameters (Å, degrees): 3.765 3.765 5.670 90.00 90.00 120.00
Sites, in units of the cell vectors:
Li 0.333 0.667 0.354
Li 0.667 0.333 0.646
Ni 0.000 0.000 0.000
P 0.333 0.667 0.832
P 0.667 0.333 0.168

=====

Here is a geometry-optimized Li2NiP2 structure from Alexandria via LeMat-Bulk. Energies are from PBE-GGA.

Results
* volume: 13.6 A^3/atom
* formation enthalpy at 0 K: -0.620 eV/atom
* Fermi-level density of states: 3.442 states/eV/cell
* M_tot: 0.00 μB/cell
* space group: P4/mbm (127)
* energy above the most stable polymorph in this dataset: 0.000 eV per atom

Lattice parameters (Å, degrees): 5.737 5.737 4.122 90.00 90.00 90.00
Sites, in units of the cell vectors:
Li 0.172 0.328 0.000
Li 0.328 0.828 0.000
Li 0.672 0.172 0.000
Li 0.828 0.672 0.000
Ni 0.000 0.000 0.500
Ni 0.500 0.500 0.500
P 0.138 0.638 0.500
P 0.362 0.138 0.500
P 0.638 0.862 0.500
P 0.862 0.362 0.500